AcCe2CrN5 | the Alexandria database | PBE-GGA | optimized geometry; V = 257.4 Å³/cell; density = 8.120 g cm⁻³; formation energy without anion corrections = -1.26 eV/atom; symmetry = I4/mcm, No. 140
1.0
6.7718 0.0000 0.0000
0.0000 6.7718 0.0000
-3.3859 -3.3859 5.6124
Ac Ce N Cr
2 4 10 2
direct
0.7500 0.7500 0.5000
0.2500 0.2500 0.5000
0.3239 0.8239 0.0000
0.8239 0.6761 0.0000
0.6761 0.1761 0.0000
0.1761 0.3239 0.0000
0.2886 0.7886 0.2939
0.7114 0.2114 0.7061
0.0000 0.0000 0.0000
0.9946 0.4946 0.7061
0.5000 0.5000 0.0000
0.2114 0.9946 0.7061
0.0054 0.5054 0.2939
0.7886 0.0054 0.2939
0.5054 0.2886 0.2939
0.4946 0.7114 0.7061
0.7500 0.2500 0.5000
0.2500 0.7500 0.5000